VASP calculation (PBE) on a relaxed structure of Pu2PtF.

Energy above the lowest structure with this stoichiometry in meV/atom: 96.8
E_form (uncorrected) in meV/atom: -1240

Unit cell a=3.3612 b=3.3612 c=7.1868 alpha=90.00 beta=90.00 gamma=90.00
Last column: nearest neighbours and their distance in Å.
Space group P4/mmm (No. 123)
One atom of each set of equivalent atoms:
Pu: 0.0000 0.0000 0.2478 (multiplicity 2)  4 F 2.97, 4 Pt 2.99
Pt: 0.5000 0.5000 0.5000 (multiplicity 1)  8 Pu 2.99
F: 0.5000 0.5000 0.0000 (multiplicity 1)  8 Pu 2.97